CsNa2AgHg | PBE-GGA | relaxed

Output
magnetic moment: 0.000 μB per formula unit
energy above the most stable polymorph in this dataset: 0 meV/atom
energy: -6.8 eV per cell
energy of formation from the pure elements: -3.6 kJ/mol of atoms
volume: 193.0 Å³/cell

Cell lengths 5.8788, 5.8788, 5.5839 Å; angles 90.00, 90.00, 90.00 degrees
Fractional positions:
Cs  0.5000  0.5000  0.5000
Na  0.0000  0.5000  0.0000
Na  0.5000  0.0000  0.0000
Hg  0.0000  0.0000  0.5000
Ag  0.0000  0.0000  0.0000